ScGaW2F | GGA+U | relaxed

Cell and atoms, written as CIF:
```
data_ScGaW2F
_chemical_formula_sum 'Sc1 Ga1 W2 F1'
_symmetry_space_group_name_H-M 'P 4/m m m'
_symmetry_Int_Tables_number 123
_symmetry_space_group_name_Hall '-P 4 2'
_cell_length_a 5.023
_cell_length_b 5.023
_cell_length_c 5.219
_cell_angle_alpha 90.00
_cell_angle_beta 90.00
_cell_angle_gamma 90.00
loop_
_atom_site_label
_atom_site_fract_x
_atom_site_fract_y
_atom_site_fract_z
Sc1 0.000 0.000 0.000
Ga1 0.000 0.000 0.500
W1 0.000 0.500 0.500
F1 0.500 0.500 0.000
```

Computed properties:
Crystal system: tetragonal
Electronic total energy, eV per atom: -4.165